(1)
Here is a relaxed V2CdPt2 crystal from Alexandria via LeMat-Bulk. Energies are from PBE-GGA.

abc: 3.8631 3.8631 11.6815
angles: 90.00 90.00 90.00
Space group I4/mmm (No. 139)
One atom of each set of equivalent atoms:
V (0.0000, 0.5000, 0.2500) (multiplicity 4)
Cd (0.0000, 0.0000, 0.0000) (multiplicity 2)
Pt (0.0000, 0.0000, 0.3898) (multiplicity 4)

Properties
* energy of formation from the pure elements: -0.140 eV/atom
* density of states at the Fermi level: 10.7 states/eV/cell

(2)
Here is a relaxed V2CdPt crystal from Alexandria via LeMat-Bulk. Energies are from PBE-GGA.

abc: 7.2724 7.2724 5.2832
angles: 90.00 90.00 90.00
Space group I-42d (No. 122)
One atom of each set of equivalent atoms:
V (0.2109, 0.2500, 0.1250) (multiplicity 8)
Cd (0.0000, 0.0000, 0.5000) (multiplicity 4)
Pt (0.0000, 0.0000, 0.0000) (multiplicity 4)

Properties
* energy of formation from the pure elements: 0.372 eV/atom
* density of states at the Fermi level: 18.4 states/eV/cell

(3)
Here is a relaxed V3CdPt crystal from Alexandria via LeMat-Bulk. Energies are from PBE-GGA.

abc: 4.6760 4.6760 4.6760
angles: 90.00 90.00 90.00
Space group Pm-3m (No. 221)
One atom of each set of equivalent atoms:
V (0.0000, 0.0000, 0.5000) (multiplicity 3)
Cd (0.5000, 0.5000, 0.5000) (multiplicity 1)
Pt (0.0000, 0.0000, 0.0000) (multiplicity 1)

Properties
* energy of formation from the pure elements: 0.949 eV/atom
* density of states at the Fermi level: 7.6 states/eV/cell
* excess energy over the best structure of this formula in the dataset: 0.0000 eV per atom

(4)
Here is a relaxed VCd2Pt crystal from Alexandria via LeMat-Bulk. Energies are from PBE-GGA.

abc: 7.7791 7.7791 5.3897
angles: 90.00 90.00 90.00
Space group I-42d (No. 122)
One atom of each set of equivalent atoms:
V (0.0000, 0.0000, 0.0000) (multiplicity 4)
Cd (0.2290, 0.7500, 0.6250) (multiplicity 8)
Pt (0.0000, 0.0000, 0.5000) (multiplicity 4)

Properties
* energy of formation from the pure elements: 0.373 eV/atom
* density of states at the Fermi level: 16.0 states/eV/cell
* excess energy over the best structure of this formula in the dataset: 0.3188 eV per atom

(5)
Here is a relaxed VCd2Pt crystal from Alexandria via LeMat-Bulk. Energies are from PBE-GGA.

abc: 6.5938 6.5938 6.5938
angles: 90.00 90.00 90.00
Space group Fm-3m (No. 225)
One atom of each set of equivalent atoms:
V (0.0000, 0.0000, 0.0000) (multiplicity 4)
Cd (0.2500, 0.2500, 0.2500) (multiplicity 8)
Pt (0.0000, 0.0000, 0.5000) (multiplicity 4)

Properties
* energy of formation from the pure elements: 0.054 eV/atom
* density of states at the Fermi level: 20.2 states/eV/cell
* excess energy over the best structure of this formula in the dataset: 0.0000 eV per atom

(6)
Here is a relaxed V2CdPt3 crystal from Alexandria via LeMat-Bulk. Energies are from PBE-GGA.

abc: 2.7847 2.7847 11.8985
angles: 90.00 90.00 90.00
Space group P4/mmm (No. 123)
One atom of each set of equivalent atoms:
V (0.0000, 0.0000, 0.1616) (multiplicity 2)
Cd (0.0000, 0.0000, 0.5000) (multiplicity 1)
Pt (0.5000, 0.5000, 0.0000) (multiplicity 1)
Pt (0.5000, 0.5000, 0.3112) (multiplicity 2)

Properties
* energy of formation from the pure elements: -0.495 eV/atom
* density of states at the Fermi level: 3.1 states/eV/cell

(7)
Here is a relaxed VCdPt3 crystal from Alexandria via LeMat-Bulk. Energies are from PBE-GGA.

abc: 4.6697 4.6697 4.6697
angles: 90.00 90.00 90.00
Space group Pm-3m (No. 221)
One atom of each set of equivalent atoms:
V (0.0000, 0.0000, 0.0000) (multiplicity 1)
Cd (0.5000, 0.5000, 0.5000) (multiplicity 1)
Pt (0.0000, 0.0000, 0.5000) (multiplicity 3)

Properties
* energy of formation from the pure elements: 0.553 eV/atom
* density of states at the Fermi level: 5.1 states/eV/cell
* excess energy over the best structure of this formula in the dataset: 0.0000 eV per atom

(8)
Here is a relaxed V4CdPt5 crystal from Alexandria via LeMat-Bulk. Energies are from PBE-GGA.

abc: 2.7543 2.7543 19.7055
angles: 90.00 90.00 90.00
Space group P4/mmm (No. 123)
One atom of each set of equivalent atoms:
V (0.0000, 0.0000, 0.0978) (multiplicity 2)
V (0.0000, 0.0000, 0.2936) (multiplicity 2)
Cd (0.0000, 0.0000, 0.5000) (multiplicity 1)
Pt (0.5000, 0.5000, 0.0000) (multiplicity 1)
Pt (0.5000, 0.5000, 0.1950) (multiplicity 2)
Pt (0.5000, 0.5000, 0.3847) (multiplicity 2)

Properties
* energy of formation from the pure elements: -0.515 eV/atom
* density of states at the Fermi level: 6.5 states/eV/cell